Version w
La6Sm12Dy (GGA-PBE, optimized geometry); calculated volume = 35.1 Å³/atom; size of the total moment = 0.00 Bohr magnetons per cell; density = 6968 kg/m³
1.0
-4.1953 6.6898 3.7434
2.8556 -2.5469 7.8566
7.0985 5.0161 -0.9041
Sm La Dy
12 6 1
direct
0.8112 0.6395 0.9793 Sm
0.4381 0.7789 0.5335 Sm
0.2211 0.4665 0.5619 Sm
0.0207 0.1888 0.3605 Sm
0.9793 0.8112 0.6395 Sm
0.1888 0.3605 0.0207 Sm
0.4665 0.5619 0.2211 Sm
0.7789 0.5335 0.4381 Sm
0.5335 0.4381 0.7789 Sm
0.5619 0.2211 0.4665 Sm
0.6395 0.9793 0.8112 Sm
0.3605 0.0207 0.1888 Sm
0.2651 0.0931 0.6975 La
0.0931 0.6975 0.2651 La
0.3025 0.7349 0.9069 La
0.9069 0.3025 0.7349 La
0.6975 0.2651 0.0931 La
0.7349 0.9069 0.3025 La
0.0000 0.0000 0.0000 Dy


Version x
La6Sm12Dy (GGA-PBE, optimized geometry); calculated volume = 36.0 Å³/atom; size of the total moment = 0.00 Bohr magnetons per cell; density = 6799 kg/m³
1.0
-7.7223 3.3092 -5.7360
8.2946 -2.2809 -5.4297
-2.7080 -7.4071 6.4255
Sm La Dy
12 6 1
direct
0.8762 0.1238 0.5000 Sm
0.5000 0.1238 0.8762 Sm
0.2352 0.2352 0.8943 Sm
0.2352 0.8943 0.2352 Sm
0.1057 0.7648 0.7648 Sm
0.1238 0.5000 0.8762 Sm
0.5000 0.8762 0.1238 Sm
0.7648 0.7648 0.1057 Sm
0.7648 0.1057 0.7648 Sm
0.1238 0.8762 0.5000 Sm
0.8943 0.2352 0.2352 Sm
0.8762 0.5000 0.1238 Sm
0.2923 0.2923 0.5682 La
0.7077 0.7077 0.4318 La
0.7077 0.4318 0.7077 La
0.5682 0.2923 0.2923 La
0.4318 0.7077 0.7077 La
0.2923 0.5682 0.2923 La
0.0000 0.0000 0.0000 Dy


Preferred: version w; penalty for the next structure: 166 meV per atom.


Version w
La7Sm12Dy (GGA-PBE, optimized geometry); calculated volume = 38.4 Å³/atom; size of the total moment = 0.01 Bohr magnetons per cell; density = 6352 kg/m³
1.0
9.4223 0.0000 -3.3313
-4.7111 8.1599 -3.3313
0.0000 0.0000 9.9938
La Sm Dy
7 12 1
direct
0.0000 0.5000 0.5000 La
0.0000 0.5000 0.0000 La
0.5000 0.0000 0.0000 La
0.5000 0.0000 0.5000 La
0.5000 0.5000 0.5000 La
0.0000 0.0000 0.5000 La
0.5000 0.5000 0.0000 La
0.2462 0.2474 0.4936 Sm
0.2474 0.4936 0.2462 Sm
0.0012 0.7538 0.2474 Sm
0.9988 0.2462 0.7526 Sm
0.4936 0.2462 0.2474 Sm
0.7538 0.7526 0.5064 Sm
0.7538 0.2474 0.0012 Sm
0.7526 0.5064 0.7538 Sm
0.7526 0.9988 0.2462 Sm
0.5064 0.7538 0.7526 Sm
0.2462 0.7526 0.9988 Sm
0.2474 0.0012 0.7538 Sm
0.0000 0.0000 0.0000 Dy


Version x
La7Sm12Dy (GGA-PBE, optimized geometry); calculated volume = 35.3 Å³/atom; size of the total moment = 0.00 Bohr magnetons per cell; density = 6911 kg/m³
1.0
8.7158 1.0168 1.5262
-1.4468 8.6549 1.5262
-1.4468 -1.9250 8.5750
Dy Sm La
1 12 7
direct
0.0000 0.0000 0.0000 Dy
0.4386 0.8374 0.5391 Sm
0.7154 0.8606 0.2545 Sm
0.7455 0.2846 0.1394 Sm
0.5391 0.4386 0.8374 Sm
0.2545 0.7154 0.8606 Sm
0.1626 0.4609 0.5614 Sm
0.5614 0.1626 0.4609 Sm
0.2846 0.1394 0.7455 Sm
0.4609 0.5614 0.1626 Sm
0.8374 0.5391 0.4386 Sm
0.1394 0.7455 0.2846 Sm
0.8606 0.2545 0.7154 Sm
0.6176 0.9408 0.8755 La
0.8755 0.6176 0.9408 La
0.9408 0.8755 0.6176 La
0.3824 0.0592 0.1245 La
0.0592 0.1245 0.3824 La
0.1245 0.3824 0.0592 La
0.5000 0.5000 0.5000 La


Preferred: version x; penalty for the next structure: 357 meV per atom.


Version w
La3Sm4Dy5 (GGA-PBE, optimized geometry); calculated volume = 33.6 Å³/atom; size of the total moment = 0.00 Bohr magnetons per cell; density = 7531 kg/m³
1.0
0.5453 -2.2980 6.8434
2.3484 -5.6058 -9.7010
3.5569 7.7097 9.9234
La Sm Dy
3 4 5
direct
0.4177 0.8355 0.6673 La
0.5823 0.1645 0.3327 La
0.0000 0.0000 0.5000 La
0.1683 0.3372 0.1683 Sm
0.0821 0.1623 0.3301 Sm
0.8317 0.6628 0.8317 Sm
0.9179 0.8377 0.6699 Sm
0.6688 0.3329 0.1646 Dy
0.2507 0.4977 0.9979 Dy
0.7493 0.5023 0.0021 Dy
0.3312 0.6671 0.8354 Dy
0.5000 0.0000 0.5000 Dy


Version x
La3Sm4Dy5 (GGA-PBE, optimized geometry); calculated volume = 34.3 Å³/atom; size of the total moment = 0.04 Bohr magnetons per cell; density = 7377 kg/m³
1.0
6.0219 0.0000 0.0000
3.0110 7.6552 -2.6710
3.0110 -0.9422 9.2679
Sm La Dy
4 3 5
direct
0.1698 0.0364 0.6239 Sm
0.1404 0.7770 0.9423 Sm
0.8596 0.2230 0.0577 Sm
0.8302 0.9636 0.3761 Sm
0.5199 0.6880 0.2722 La
0.4801 0.3120 0.7278 La
0.0000 0.5000 0.5000 La
0.3760 0.0518 0.1963 Dy
0.2186 0.4536 0.1092 Dy
0.7814 0.5464 0.8908 Dy
0.5000 0.5000 0.5000 Dy
0.6240 0.9482 0.8037 Dy


Preferred: version w; penalty for the next structure: 207 meV per atom.


Version w
La2SmDy6 (GGA-PBE, optimized geometry); calculated volume = 33.3 Å³/atom; size of the total moment = 0.00 Bohr magnetons per cell; density = 7763 kg/m³
1.0
-1.5493 -3.1242 0.4815
4.6884 -5.3564 -6.8340
7.7063 -5.3203 3.1118
Dy La Sm
6 2 1
direct
0.5000 0.3098 0.6902 Dy
0.1776 0.9890 0.6568 Dy
0.8224 0.0110 0.3432 Dy
0.8224 0.3432 0.0110 Dy
0.5000 0.6902 0.3098 Dy
0.1776 0.6568 0.9890 Dy
0.1566 0.3434 0.3434 La
0.8434 0.6566 0.6566 La
0.0000 0.0000 0.0000 Sm


Version x
La2SmDy6 (GGA-PBE, optimized geometry); calculated volume = 33.8 Å³/atom; size of the total moment = 0.00 Bohr magnetons per cell; density = 7652 kg/m³
1.0
6.0166 -0.0275 -0.0159
0.0343 7.6442 0.0074
0.0343 3.8148 6.6243
Dy La Sm
6 2 1
direct
0.2923 0.3761 0.8119 Dy
0.2924 0.8120 0.8120 Dy
0.2923 0.8119 0.3761 Dy
0.7077 0.6239 0.1881 Dy
0.7076 0.1880 0.1880 Dy
0.7077 0.1881 0.6239 Dy
0.7839 0.6667 0.6667 La
0.2161 0.3333 0.3333 La
0.0000 0.0000 0.0000 Sm


Preferred: version w; penalty for the next structure: 119 meV per atom.


Version w
La4SmDy2 (GGA-PBE, optimized geometry); calculated volume = 35.4 Å³/atom; size of the total moment = 0.00 Bohr magnetons per cell; density = 6913 kg/m³
1.0
-1.5774 -0.9628 6.7357
-4.2288 -7.9414 1.4960
6.4988 -4.5580 4.4918
La Dy Sm
8 4 2
direct
0.7749 0.7569 0.2569 La
0.2251 0.2431 0.7431 La
0.8485 0.1509 0.1520 La
0.1515 0.8491 0.8480 La
0.1515 0.3480 0.3491 La
0.2113 0.7569 0.2569 La
0.8485 0.6520 0.6509 La
0.7887 0.2431 0.7431 La
0.5000 0.5000 0.5000 Dy
0.7162 0.0338 0.5338 Dy
0.2838 0.9662 0.4662 Dy
0.5000 0.0000 0.0000 Dy
0.0000 0.5000 0.0000 Sm
0.5000 0.5000 0.0000 Sm


Version x
La4SmDy2 (GGA-PBE, optimized geometry); calculated volume = 35.2 Å³/atom; size of the total moment = 0.00 Bohr magnetons per cell; density = 6946 kg/m³
1.0
12.2741 -3.1507 -1.5736
-9.6156 8.2535 -1.5736
0.0218 0.0419 6.9159
Dy La Sm
4 8 2
direct
0.6284 0.3129 0.4552 Dy
0.9224 0.1068 0.0438 Dy
0.1068 0.9224 0.5438 Dy
0.3129 0.6284 0.9552 Dy
0.1791 0.7164 0.3693 La
0.7957 0.1898 0.4102 La
0.1898 0.7957 0.9102 La
0.7164 0.1791 0.8693 La
0.0314 0.1368 0.5898 La
0.1368 0.0314 0.0898 La
0.5602 0.5978 0.1335 La
0.5978 0.5602 0.6335 La
0.6668 0.4167 0.9997 Sm
0.4167 0.6668 0.4997 Sm


Preferred: version x; penalty for the next structure: 150 meV per atom.


Version w
LaSm12Dy7 (GGA-PBE, optimized geometry); calculated volume = 33.8 Å³/atom; size of the total moment = 0.00 Bohr magnetons per cell; density = 7578 kg/m³
1.0
9.3958 -0.1423 -0.2136
-2.7493 8.9857 -0.2136
-2.7493 -3.6581 8.2102
Dy Sm La
7 12 1
direct
0.9902 0.1057 0.6781 Dy
0.8943 0.3219 0.0098 Dy
0.0098 0.8943 0.3219 Dy
0.5000 0.5000 0.5000 Dy
0.3219 0.0098 0.8943 Dy
0.6781 0.9902 0.1057 Dy
0.1057 0.6781 0.9902 Dy
0.5917 0.9510 0.7018 Sm
0.7018 0.5917 0.9510 Sm
0.0490 0.2982 0.4083 Sm
0.6253 0.7765 0.3310 Sm
0.3310 0.6253 0.7765 Sm
0.3747 0.2235 0.6690 Sm
0.2235 0.6690 0.3747 Sm
0.9510 0.7018 0.5917 Sm
0.7765 0.3310 0.6253 Sm
0.2982 0.4083 0.0490 Sm
0.4083 0.0490 0.2982 Sm
0.6690 0.3747 0.2235 Sm
0.0000 0.0000 0.0000 La


Version x
LaSm12Dy7 (GGA-PBE, optimized geometry); calculated volume = 38.1 Å³/atom; size of the total moment = 0.00 Bohr magnetons per cell; density = 6721 kg/m³
1.0
-2.3225 5.0340 -8.2772
9.8556 0.3102 1.4201
-2.9220 -9.4769 -0.9469
Dy Sm La
7 12 1
direct
0.5000 0.5000 0.5000 Dy
0.5000 0.0000 0.5000 Dy
0.5000 0.0000 0.0000 Dy
0.5000 0.5000 0.0000 Dy
0.0000 0.5000 0.0000 Dy
0.0000 0.0000 0.5000 Dy
0.0000 0.5000 0.5000 Dy
0.2563 0.2561 0.5124 Sm
0.7439 0.0003 0.2563 Sm
0.4876 0.7437 0.7439 Sm
0.2561 0.5124 0.2563 Sm
0.0003 0.2563 0.7439 Sm
0.2563 0.7439 0.0003 Sm
0.7439 0.4876 0.7437 Sm
0.9997 0.7437 0.2561 Sm
0.7437 0.2561 0.9997 Sm
0.7437 0.7439 0.4876 Sm
0.5124 0.2563 0.2561 Sm
0.2561 0.9997 0.7437 Sm
0.0000 0.0000 0.0000 La


Preferred: version w; penalty for the next structure: 501 meV per atom.


Version w
LaSm6Dy2 (GGA-PBE, optimized geometry); calculated volume = 33.7 Å³/atom; size of the total moment = 0.65 Bohr magnetons per cell; density = 7483 kg/m³
1.0
-2.4028 -2.9171 -4.8816
3.8395 -6.2151 1.8236
-3.0831 -5.1220 4.5777
Sm Dy La
6 2 1
direct
0.7081 0.6271 0.1865 Sm
0.2920 0.8135 0.8135 Sm
0.2919 0.3729 0.8135 Sm
0.2919 0.8135 0.3729 Sm
0.7080 0.1865 0.1865 Sm
0.7081 0.1865 0.6271 Sm
0.2179 0.3334 0.3334 Dy
0.7821 0.6666 0.6666 Dy
0.0000 0.0000 0.0000 La


Version x
LaSm6Dy2 (GGA-PBE, optimized geometry); calculated volume = 33.7 Å³/atom; size of the total moment = 0.00 Bohr magnetons per cell; density = 7476 kg/m³
1.0
3.6112 0.3194 0.2340
-0.1481 6.1844 -6.3638
0.9346 0.7190 12.9663
Sm Dy La
6 2 1
direct
0.7784 0.1072 0.4428 Sm
0.6677 0.6636 0.6645 Sm
0.1102 0.4435 0.7790 Sm
0.2216 0.8928 0.5572 Sm
0.8898 0.5565 0.2210 Sm
0.3323 0.3364 0.3355 Sm
0.4440 0.7755 0.1115 Dy
0.5560 0.2245 0.8885 Dy
0.0000 0.0000 0.0000 La


Preferred: version x; penalty for the next structure: 178 meV per atom.


Version w
La3SmDy (GGA-PBE, optimized geometry); calculated volume = 35.0 Å³/atom; size of the total moment = 0.00 Bohr magnetons per cell; density = 6915 kg/m³
1.0
-2.1150 4.8194 -4.2119
-9.9803 0.9115 2.8401
1.0382 8.4770 5.9638
La Dy Sm
12 4 4
direct
0.1509 0.7380 0.8628 La
0.4388 0.2187 0.5867 La
0.8491 0.2620 0.1372 La
0.9388 0.5867 0.2187 La
0.0612 0.4133 0.7813 La
0.6520 0.6115 0.9881 La
0.1520 0.9881 0.6115 La
0.5612 0.7813 0.4133 La
0.3480 0.3885 0.0119 La
0.3491 0.1372 0.2620 La
0.6509 0.8628 0.7380 La
0.8480 0.0119 0.3885 La
0.5595 0.5302 0.6670 Dy
0.4405 0.4698 0.3330 Dy
0.0595 0.6670 0.5302 Dy
0.9405 0.3330 0.4698 Dy
0.7500 0.9346 0.0654 Sm
0.2500 0.8089 0.1911 Sm
0.2500 0.0654 0.9346 Sm
0.7500 0.1911 0.8089 Sm


Version x
La3SmDy (GGA-PBE, optimized geometry); calculated volume = 36.4 Å³/atom; size of the total moment = 0.00 Bohr magnetons per cell; density = 6661 kg/m³
1.0
-5.0945 -0.6234 -6.0215
-1.8306 -6.0644 2.1766
-2.3581 3.1756 6.8645
La Sm Dy
6 2 2
direct
0.3988 0.7499 0.2001 La
0.1987 0.2501 0.7999 La
0.8009 0.7499 0.6017 La
0.1991 0.2501 0.3983 La
0.8013 0.7499 0.2001 La
0.6012 0.2501 0.7999 La
0.0000 0.5000 0.0000 Sm
0.0000 0.0000 0.0000 Sm
0.3340 0.7501 0.6679 Dy
0.6660 0.2499 0.3321 Dy


Preferred: version w; penalty for the next structure: 225 meV per atom.


Version w
La3SmDy4 (GGA-PBE, optimized geometry); calculated volume = 34.3 Å³/atom; size of the total moment = 0.00 Bohr magnetons per cell; density = 7371 kg/m³
1.0
3.3889 0.0000 0.8780
1.1861 8.6420 2.4014
-0.5157 -1.0632 8.9701
Dy La Sm
4 3 1
direct
0.6343 0.1128 0.6186 Dy
0.3657 0.8872 0.3814 Dy
0.6343 0.6186 0.1128 Dy
0.3657 0.3814 0.8872 Dy
0.7573 0.2427 0.2427 La
0.0000 0.5000 0.5000 La
0.2427 0.7573 0.7573 La
0.5000 0.0000 0.0000 Sm


Version x
La3SmDy4 (GGA-PBE, optimized geometry); calculated volume = 34.1 Å³/atom; size of the total moment = 0.00 Bohr magnetons per cell; density = 7408 kg/m³
1.0
6.3595 0.0000 0.0000
0.0000 7.3463 0.0000
0.0000 0.0000 11.6784
Dy Sm La
8 2 6
direct
0.4806 0.8794 0.7490 Dy
0.6498 0.1223 0.0000 Dy
0.1498 0.8777 0.5000 Dy
0.9806 0.1206 0.7510 Dy
0.6481 0.1207 0.5000 Dy
0.4806 0.8794 0.2510 Dy
0.1481 0.8793 0.0000 Dy
0.9806 0.1206 0.2490 Dy
0.1481 0.3694 0.0000 Sm
0.6481 0.6306 0.5000 Sm
0.1488 0.3718 0.5000 La
0.6488 0.6282 0.0000 La
0.9796 0.6253 0.7503 La
0.4796 0.3747 0.7497 La
0.9796 0.6253 0.2497 La
0.4796 0.3747 0.2503 La


Preferred: version x; penalty for the next structure: 100 meV per atom.